1.
A relaxed structure of GaCu2Pd3. Source: Alexandria, functional PBE-GGA.

abc: 6.601 6.601 6.468
angles: 90.00 90.00 143.26
Fractional positions:
Ga1 0.158 0.842 0.000
Ga2 0.842 0.158 0.000
Cu1 0.167 0.833 0.500
Cu2 0.500 0.500 0.000
Cu3 0.500 0.500 0.500
Cu4 0.833 0.167 0.500
Pd1 0.000 0.000 0.254
Pd2 0.000 0.000 0.746
Pd3 0.331 0.669 0.243
Pd4 0.331 0.669 0.757
Pd5 0.669 0.331 0.243
Pd6 0.669 0.331 0.757

Output
- E (eV per formula unit) = -29.05
- energy of formation from the pure elements (kJ per mole of atoms) = -36

2.
A relaxed structure of LiMgRu. Source: Alexandria, functional PBE-GGA.

abc: 4.117 4.117 4.117
angles: 60.00 60.00 60.00
Fractional positions:
Li1 0.000 0.000 0.000
Mg1 0.750 0.750 0.750
Ru1 0.250 0.250 0.250

Output
- E (eV per formula unit) = -10.70
- energy of formation from the pure elements (kJ per mole of atoms) = 67
- polymorph energy (0 for the lowest one) (meV/atom) = 589

3.
A relaxed structure of P3RuO. Source: Alexandria, functional PBE-GGA.

abc: 4.519 4.519 4.519
angles: 90.00 90.00 90.00
Fractional positions:
P1 0.000 0.000 0.500
P2 0.000 0.500 0.000
P3 0.500 0.000 0.000
Ru1 0.000 0.000 0.000
O1 0.500 0.500 0.500

Output
- E (eV per formula unit) = -25.67
- ΔE_f (raw) (eV per formula unit) = 4.8
- polymorph energy (0 for the lowest one) (meV/atom) = 427

4.
A relaxed structure of K3TaBi. Source: Alexandria, functional PBE-GGA.

abc: 6.499 6.499 6.499
angles: 90.00 90.00 90.00
Fractional positions:
K1 0.000 0.000 0.500
K2 0.000 0.500 0.000
K3 0.500 0.000 0.000
Ta1 0.000 0.000 0.000
Bi1 0.500 0.500 0.500

Output
- E (eV per formula unit) = -12.16
- energy of formation from the pure elements (kJ per mole of atoms) = 132
- polymorph energy (0 for the lowest one) (meV/atom) = 122

5.
A relaxed structure of NaSnTe2I. Source: Alexandria, functional PBE-GGA.

abc: 5.523 5.523 5.845
angles: 90.00 90.00 90.00
Fractional positions:
Na1 0.000 0.000 0.000
Sn1 0.500 0.500 0.500
Te1 0.000 0.500 0.000
Te2 0.500 0.000 0.000
I1 0.000 0.000 0.500

Output
- E (eV per formula unit) = -11.93
- ΔE_f (raw) (eV per formula unit) = 1.2
- polymorph energy (0 for the lowest one) (meV/atom) = 420

6.
A relaxed structure of KPuPO6. Source: Alexandria, functional PBE-GGA.

abc: 5.181 5.181 5.947
angles: 90.00 90.00 120.00
Fractional positions:
K1 0.000 0.000 0.000
Pu1 0.333 0.667 0.500
P1 0.667 0.333 0.500
O1 0.402 0.052 0.668
O2 0.402 0.350 0.332
O3 0.650 0.052 0.332
O4 0.650 0.598 0.668
O5 0.948 0.350 0.668
O6 0.948 0.598 0.332

Output
- E (eV per formula unit) = -69.27
- ΔE_f (raw) (eV per formula unit) = -18.7

7.
A relaxed structure of Ac2Cu15Rh2. Source: Alexandria, functional PBE-GGA.

abc: 6.624 6.624 6.624
angles: 83.68 83.68 83.68
Fractional positions:
Ac1 0.164 0.164 0.164
Ac2 0.836 0.836 0.836
Cu1 0.000 0.500 0.500
Cu2 0.156 0.156 0.652
Cu3 0.156 0.652 0.156
Cu4 0.215 0.500 0.785
Cu5 0.215 0.785 0.500
Cu6 0.348 0.844 0.844
Cu7 0.500 0.000 0.500
Cu8 0.500 0.215 0.785
Cu9 0.500 0.500 0.000
Cu10 0.500 0.785 0.215
Cu11 0.652 0.156 0.156
Cu12 0.785 0.215 0.500
Cu13 0.785 0.500 0.215
Cu14 0.844 0.348 0.844
Cu15 0.844 0.844 0.348
Rh1 0.396 0.396 0.396
Rh2 0.604 0.604 0.604

Output
- E (eV per formula unit) = -86.46
- energy of formation from the pure elements (kJ per mole of atoms) = -11

8.
A relaxed structure of ReTeAs4. Source: Alexandria, functional PBE-GGA.

abc: 5.569 5.569 5.569
angles: 60.00 60.00 60.00
Fractional positions:
Re1 0.000 0.000 0.000
Te1 0.750 0.750 0.750
As1 0.373 0.373 0.373
As2 0.373 0.373 0.880
As3 0.373 0.880 0.373
As4 0.880 0.373 0.373

Output
- E (eV per formula unit) = -27.63
- ΔE_f (raw) (eV per formula unit) = 6.6

9.
A relaxed structure of PbCl. Source: Alexandria, functional PBE-GGA.

abc: 5.333 5.333 5.333
angles: 60.00 60.00 60.00
Fractional positions:
Pb1 0.125 0.125 0.125
Pb2 0.875 0.875 0.875
Cl1 0.375 0.375 0.375
Cl2 0.625 0.625 0.625

Output
- E (eV per formula unit) = -6.14
- ΔE_f (raw) (eV per formula unit) = -0.6

10.
A relaxed structure of Ti2NbZn. Source: Alexandria, functional PBE-GGA.

abc: 4.076 4.076 3.966
angles: 90.00 90.00 90.00
Fractional positions:
Ti1 0.000 0.500 0.000
Ti2 0.500 0.000 0.000
Nb1 0.000 0.000 0.500
Zn1 0.500 0.500 0.500

Output
- E (eV per formula unit) = -27.55
- energy of formation from the pure elements (kJ per mole of atoms) = -10

11.
A relaxed structure of CsSn2Au. Source: Alexandria, functional PBE-GGA.

abc: 9.403 9.403 7.155
angles: 94.13 94.13 149.85
Fractional positions:
Cs1 0.062 0.938 0.750
Cs2 0.938 0.062 0.250
Sn1 0.148 0.466 0.873
Sn2 0.466 0.148 0.373
Sn3 0.534 0.852 0.627
Sn4 0.852 0.534 0.127
Au1 0.290 0.710 0.250
Au2 0.710 0.290 0.750

Output
- E (eV per formula unit) = -12.87
- energy of formation from the pure elements (kJ per mole of atoms) = -18

12.
A relaxed structure of Li2CuRh. Source: Alexandria, functional PBE-GGA.

abc: 5.234 5.234 5.076
angles: 104.88 104.88 118.51
Fractional positions:
Li1 0.028 0.460 0.248
Li2 0.460 0.028 0.748
Li3 0.540 0.972 0.252
Li4 0.972 0.540 0.752
Cu1 0.025 0.975 0.250
Cu2 0.975 0.025 0.750
Rh1 0.470 0.530 0.750
Rh2 0.530 0.470 0.250

Output
- E (eV per formula unit) = -15.76
- energy of formation from the pure elements (kJ per mole of atoms) = -12
- polymorph energy (0 for the lowest one) (meV/atom) = 8

Which value of E does entry 9 give?
-6.14 eV per formula unit